{"formula": "Ac2NpCoO8", "functional": "PBE+U", "state": "optimized geometry", "lattice": [[4.490, -0.413, 0.259], [-0.415, 5.414, -0.561], [0.417, -0.780, 7.731]], "species": ["O", "O", "O", "O", "O", "Ac", "Ac", "O", "O", "Np", "Co", "O"], "frac_coords": [[0.105, 0.710, 0.833], [0.704, 0.746, 0.538], [0.983, 0.150, 0.746], [0.895, 0.290, 0.167], [0.400, 0.216, 0.992], [0.441, 0.571, 0.270], [0.559, 0.429, 0.730], [0.017, 0.850, 0.254], [0.600, 0.784, 0.008], [0.000, 0.000, 0.000], [0.000, 0.000, 0.500], [0.296, 0.254, 0.462]], "e_tot_ev_per_atom": -8.059, "magnetic_moment_mub_per_fu": 2.0}